## SmScTlRu (PBE-GGA)

Data for SmScTlRu after structural relaxation.

The structure in POSCAR format:
```
SmScTlRu
1.0
3.3353 0.0000 0.0000
0.0000 3.3353 0.0000
0.0000 0.0000 8.1344
Sm Sc Tl Ru
1 1 1 1
Direct
0.0000 0.0000 0.0000 Sm
0.0000 0.0000 0.5953 Sc
0.5000 0.5000 0.3195 Tl
0.5000 0.5000 0.7702 Ru
```

Properties
* theoretical density: 9.2 g/cm³
* spin magnetization: 0.00 Bohr magnetons per cell
* energy above the lowest structure with this stoichiometry: 0.00 eV per formula unit
* formation energy from the elements: -0.40 eV/atom